A crystal of NaYP4O12 relaxed with PBEsol, computed with SCAN.

Computed properties:
The value obtained for the mass density is 3.13 g cm⁻³. The raw formation energy is -2.7229 eV per atom. Its space group is P2_1/c (14). For the total magnetization, the calculation gives 0.0 μB/cell. Its crystal system is monoclinic.

a = 7.172 Å, b = 9.713 Å, c = 13.038 Å
α = 90.00°, β = 90.00°, γ = 89.37°
Element x y z (fractional)
1 Na 0.000 0.938 0.777
2 Na 0.500 0.562 0.277
3 Na 0.500 0.438 0.723
4 Na 0.000 0.062 0.223
5 Y 0.013 0.523 0.720
6 Y 0.487 0.977 0.220
7 Y 0.987 0.477 0.280
8 Y 0.513 0.023 0.780
9 P 0.250 0.756 0.896
10 P 0.267 0.297 0.907
11 P 0.733 0.703 0.093
12 P 0.233 0.203 0.407
13 P 0.149 0.197 0.629
14 P 0.626 0.264 0.384
15 P 0.250 0.744 0.396
16 P 0.767 0.797 0.593
17 P 0.374 0.736 0.616
18 P 0.750 0.256 0.604
19 P 0.851 0.803 0.371
20 P 0.351 0.303 0.129
21 P 0.874 0.236 0.884
22 P 0.750 0.244 0.104
23 P 0.649 0.697 0.871
24 P 0.126 0.764 0.116
25 O 0.294 0.601 0.650
26 O 0.367 0.853 0.689
27 O 0.287 0.907 0.888
28 O 0.429 0.202 0.887
29 O 0.633 0.147 0.311
30 O 0.909 0.298 0.167
31 O 0.718 0.637 0.980
32 O 0.765 0.585 0.164
33 O 0.273 0.394 0.211
34 O 0.175 0.350 0.634
35 O 0.415 0.297 0.418
36 O 0.430 0.663 0.873
37 O 0.219 0.710 0.013
38 O 0.825 0.650 0.366
39 O 0.706 0.399 0.350
40 O 0.206 0.899 0.150
41 O 0.218 0.137 0.520
42 O 0.867 0.353 0.811
43 O 0.787 0.407 0.612
44 O 0.675 0.850 0.866
45 O 0.585 0.703 0.582
46 O 0.782 0.863 0.480
47 O 0.735 0.915 0.664
48 O 0.265 0.085 0.336
49 O 0.235 0.415 0.836
50 O 0.929 0.702 0.613
51 O 0.794 0.101 0.850
52 O 0.133 0.647 0.189
53 O 0.571 0.798 0.113
54 O 0.227 0.106 0.711
55 O 0.213 0.593 0.388
56 O 0.713 0.093 0.112
57 O 0.070 0.837 0.373
58 O 0.781 0.290 0.987
59 O 0.325 0.150 0.134
60 O 0.071 0.298 0.387
61 O 0.591 0.202 0.667
62 O 0.930 0.163 0.627
63 O 0.727 0.606 0.789
64 O 0.570 0.337 0.127
65 O 0.085 0.203 0.918
66 O 0.773 0.894 0.289
67 O 0.719 0.210 0.487
68 O 0.409 0.798 0.333
69 O 0.281 0.790 0.513
70 O 0.282 0.363 0.020
71 O 0.915 0.797 0.082
72 O 0.091 0.702 0.833


A crystal of Na2ZnP2O7 relaxed with PBEsol, computed with SCAN.

Computed properties:
The value obtained for the mass density is 3.08 g cm⁻³. The raw formation energy is -2.3765 eV per atom. Its space group is P4_2/mnm (136). For the total magnetization, the calculation gives 0.0 μB/cell. Its crystal system is tetragonal.

a = 7.736 Å, b = 7.736 Å, c = 10.278 Å
α = 90.00°, β = 90.00°, γ = 90.00°
Element x y z (fractional)
1 Na 0.806 0.194 0.500
2 Na 0.644 0.644 0.500
3 Na 0.144 0.856 0.000
4 Na 0.194 0.806 0.500
5 Na 0.856 0.144 0.000
6 Na 0.694 0.694 0.000
7 Na 0.306 0.306 0.000
8 Na 0.356 0.356 0.500
9 Zn 0.500 0.000 0.250
10 Zn 0.000 0.500 0.250
11 Zn 0.000 0.500 0.750
12 Zn 0.500 0.000 0.750
13 P 0.361 0.639 0.790
14 P 0.639 0.361 0.790
15 P 0.861 0.861 0.710
16 P 0.361 0.639 0.210
17 P 0.861 0.861 0.290
18 P 0.139 0.139 0.710
19 P 0.139 0.139 0.290
20 P 0.639 0.361 0.210
21 O 0.081 0.308 0.355
22 O 0.919 0.692 0.355
23 O 0.308 0.081 0.645
24 O 0.808 0.419 0.855
25 O 0.192 0.581 0.855
26 O 0.419 0.808 0.145
27 O 0.581 0.192 0.145
28 O 0.692 0.919 0.645
29 O 0.919 0.692 0.645
30 O 0.081 0.308 0.645
31 O 0.692 0.919 0.355
32 O 0.192 0.581 0.145
33 O 0.808 0.419 0.145
34 O 0.581 0.192 0.855
35 O 0.419 0.808 0.855
36 O 0.308 0.081 0.355
37 O 0.864 0.864 0.857
38 O 0.136 0.136 0.857
39 O 0.864 0.864 0.143
40 O 0.364 0.636 0.357
41 O 0.000 0.000 0.347
42 O 0.500 0.500 0.847
43 O 0.500 0.500 0.153
44 O 0.000 0.000 0.653
45 O 0.136 0.136 0.143
46 O 0.364 0.636 0.643
47 O 0.636 0.364 0.643
48 O 0.636 0.364 0.357


A crystal of Na2ZnPO5 relaxed with PBEsol, computed with SCAN.

Computed properties:
The value obtained for the mass density is 3.18 g cm⁻³. The raw formation energy is -2.0236 eV per atom. Its space group is P2_1/c (14). For the total magnetization, the calculation gives 4.3 μB/cell. Its crystal system is monoclinic.

a = 5.767 Å, b = 8.488 Å, c = 9.807 Å
α = 90.00°, β = 90.00°, γ = 104.31°
Each line ends with the local moment (μB).
Element x y z (fractional)
1 Na 0.811 0.701 0.358  0.00
2 Na 0.689 0.299 0.858  0.00
3 Na 0.189 0.299 0.642  0.00
4 Na 0.311 0.701 0.142  0.00
5 Na 0.858 0.622 0.670  0.00
6 Na 0.642 0.378 0.170  0.00
7 Na 0.142 0.378 0.330  0.00
8 Na 0.358 0.622 0.830  0.00
9 Zn 0.735 0.988 0.643  0.05
10 Zn 0.765 0.012 0.143  0.05
11 Zn 0.265 0.012 0.357  0.05
12 Zn 0.235 0.988 0.857  0.05
13 P 0.856 0.704 0.992  -0.01
14 P 0.644 0.296 0.492  -0.01
15 P 0.144 0.296 0.008  -0.01
16 P 0.356 0.704 0.508  -0.01
17 O 0.879 0.636 0.135  0.06
18 O 0.621 0.364 0.635  0.06
19 O 0.121 0.364 0.865  0.06
20 O 0.379 0.636 0.365  0.06
21 O 0.719 0.842 0.003  0.10
22 O 0.781 0.158 0.503  0.10
23 O 0.281 0.158 0.997  0.10
24 O 0.219 0.842 0.497  0.10
25 O 0.717 0.577 0.891  0.03
26 O 0.783 0.423 0.391  0.03
27 O 0.283 0.423 0.109  0.03
28 O 0.217 0.577 0.609  0.03
29 O 0.556 0.024 0.795  0.67
30 O 0.944 0.976 0.295  0.67
31 O 0.444 0.976 0.205  0.67
32 O 0.056 0.024 0.705  0.67
33 O 0.617 0.774 0.565  0.01
34 O 0.883 0.226 0.065  0.01
35 O 0.383 0.226 0.435  0.01
36 O 0.117 0.774 0.935  0.01


A crystal of NaZnPO2 relaxed with PBEsol, computed with SCAN.

Computed properties:
The value obtained for the mass density is 3.14 g cm⁻³. The raw formation energy is 0.7584 eV per atom. Its space group is P4/mmm (123). For the total magnetization, the calculation gives 3.8 μB/cell. Its crystal system is tetragonal.

a = 3.979 Å, b = 3.979 Å, c = 5.063 Å
α = 90.00°, β = 90.00°, γ = 90.00°
Each line ends with the local moment (μB).
Element x y z (fractional)
1 P 0.000 0.000 0.500  0.61
2 Zn 0.500 0.500 0.500  -0.01
3 O 0.000 0.500 0.000  1.09
4 O 0.500 0.000 0.000  1.09
5 Na 0.000 0.000 0.000  0.00